1.
DFT (PBEsol) results for crystalline KTeH2 at its relaxed geometry.

Computed properties:
Uncorrected energy ... -2.714 eV/atom
Symmetry ... I4_1/amd (141)

Cell lengths 4.7637, 4.7637, 7.9965 Å; angles 107.33, 107.33, 90.00 degrees
Positions (direct):
H: 0.6250 0.8750 0.7500
H: 0.1250 0.8750 0.7500
H: 0.1250 0.8750 0.2500
H: 0.1250 0.3750 0.2500
K: 0.5000 0.5000 0.0000
K: 0.7500 0.2500 0.5000
Te: 0.0000 0.0000 0.0000
Te: 0.2500 0.7500 0.5000

***

2.
DFT (PBEsol) results for crystalline K2TiH at its relaxed geometry.

Computed properties:
Uncorrected energy ... -2.822 eV/atom
Symmetry ... I-42d (122)

Cell lengths 3.7092, 8.8209, 8.8209 Å; angles 87.47, 77.86, 77.86 degrees
Each line ends with the local moment (μB).
Positions (direct):
H: 0.5000 0.0000 0.0000  -0.01
H: 0.2500 0.5000 0.5000  -0.01
K: 0.4564 0.1686 0.6686  0.04
K: 0.2936 0.8314 0.3314  0.04
K: 0.3750 0.3314 0.1686  0.04
K: 0.8750 0.6686 0.8314  0.04
Ti: 0.0000 0.0000 0.0000  1.93
Ti: 0.7500 0.5000 0.5000  1.93

***

3.
DFT (PBEsol) results for crystalline KTiH3 at its relaxed geometry.

Computed properties:
Uncorrected energy ... -3.933 eV/atom
Symmetry ... Pm-3m (221)

Cell lengths 3.9124, 3.9124, 3.9124 Å; angles 90.00, 90.00, 90.00 degrees
Each line ends with the local moment (μB).
Positions (direct):
H: 0.0000 0.5000 0.0000  -0.01
H: 0.0000 0.0000 0.5000  -0.01
H: 0.5000 0.0000 0.0000  -0.01
K: 0.5000 0.5000 0.5000  0.04
Ti: 0.0000 0.0000 0.0000  1.45